# HoSc6In

A relaxed structure of HoSc6In (PBE, Alexandria).

* energy relative to the elements: 0.0643 eV/atom
* raw total energy: -0.412 Ry per atom
* M_tot: 0.0 μB per cell

```
data_HoSc6In
_cell_length_a 6.133
_cell_length_b 6.133
_cell_length_c 6.197
_cell_angle_alpha 90.08
_cell_angle_beta 90.08
_cell_angle_gamma 120.60
_space_group_name_H-M_alt 'P 1'
_space_group_IT_number 1
_space_group_name_Hall 'P 1'
loop_
_atom_site_label
_atom_site_type_symbol
_atom_site_fract_x
_atom_site_fract_y
_atom_site_fract_z
_atom_site_occupancy
Ho1 Ho 0.000 0.000 0.000 1
Sc1 Sc 0.013 0.562 0.750 1
Sc2 Sc 0.438 0.987 0.250 1
Sc3 Sc 0.454 0.454 0.749 1
Sc4 Sc 0.546 0.546 0.251 1
Sc5 Sc 0.562 0.013 0.750 1
Sc6 Sc 0.987 0.438 0.250 1
In1 In 0.000 0.000 0.500 1
```